(1)
FeTcP2 | GGA-PBEsol | relaxed

```
FeTcP2
1.0
-0.877 -2.680 0.527
1.089 -2.187 -1.504
5.215 -2.363 4.474
Fe P Tc
1 2 1
Cartesian
1.195 -1.784 0.723 Fe
0.288 -4.879 -0.906 P
4.068 -5.423 2.621 P
2.800 -3.628 1.830 Tc
```

Energy above the most stable polymorph in this dataset = 330 meV per atom
Formation enthalpy at 0 K = -0.1350 eV/atom
M_tot = 1.05 Bohr magnetons per cell
SG = R3m

(2)
Mo2WSe | GGA-PBEsol | relaxed

```
Mo2WSe
1.0
-2.472 2.726 -0.146
-2.552 -2.238 1.430
3.706 1.063 3.535
Mo Se W
2 1 1
Cartesian
0.000 0.000 0.000 Mo
-0.639 2.017 2.015 Mo
-2.512 0.244 0.642 Se
-0.679 -0.465 2.803 W
```

Total DFT energy (no corrections) = -9.840 eV/atom
M_tot = 0.00 Bohr magnetons per cell
SG = I-4m2

(3)
Fe2CoIr | GGA-PBEsol | relaxed

```
Fe2CoIr
1.0
2.558 0.000 0.000
0.000 3.539 0.000
0.000 0.000 5.023
Ir Co Fe
1 1 2
Cartesian
0.000 0.000 2.500 Ir
1.279 1.769 3.821 Co
0.000 0.000 5.005 Fe
1.279 1.769 1.232 Fe
```

Formation enthalpy at 0 K = 0.0334 eV/atom
M_tot = 1.71 Bohr magnetons per cell
SG = Pmm2

(4)
ZrCrCd2 | GGA-PBEsol | relaxed

```
ZrCrCd2
1.0
-0.634 -4.186 0.629
3.230 -0.067 2.807
-3.918 2.979 1.318
Cd Cr Zr
2 1 1
Cartesian
0.000 0.000 0.000 Cd
-1.627 -1.667 1.832 Cd
1.298 -2.127 1.718 Cr
0.305 0.393 2.921 Zr
```

Energy above the most stable polymorph in this dataset = 41 meV per atom
Formation enthalpy at 0 K = 0.2715 eV/atom
M_tot = 3.03 Bohr magnetons per cell
SG = I-4m2

(5)
Ba2SrLiTi | GGA-PBEsol | relaxed

```
Ba2SrLiTi
1.0
-5.703 -0.683 1.960
1.597 -5.105 2.867
1.319 3.194 4.953
Sr Li Ba Ti
1 1 2 1
Cartesian
0.660 1.597 2.477 Sr
0.000 0.000 0.000 Li
0.798 -2.553 1.433 Ba
-2.851 -0.342 0.980 Ba
-1.393 -1.297 4.890 Ti
```

Formation enthalpy at 0 K = 0.8164 eV/atom
M_tot = 3.75 Bohr magnetons per cell
SG = P4/mmm

(6)
NbRhF2 | GGA-PBEsol | relaxed

```
NbRhF2
1.0
-2.209 2.253 2.587
-4.068 0.065 -0.313
-2.294 -1.818 2.843
Nb Rh F
1 1 2
Cartesian
0.000 0.000 0.000 Nb
-4.286 0.250 2.559 Rh
-2.143 0.125 1.279 F
-6.429 0.375 3.838 F
```

Energy above the most stable polymorph in this dataset = 331 meV per atom
M_tot = 0.00 Bohr magnetons per cell
SG = Fm-3m

(7)
KTaBe2 | GGA-PBEsol | relaxed

```
KTaBe2
1.0
2.887 0.000 0.000
1.443 2.500 0.000
1.443 0.833 9.743
Be K Ta
2 1 1
Cartesian
1.443 0.833 2.837 Be
4.330 2.500 6.906 Be
0.000 0.000 0.000 K
2.887 1.667 4.871 Ta
```

Energy above the most stable polymorph in this dataset = 0 meV per atom
Formation enthalpy at 0 K = 0.8893 eV/atom
M_tot = 0.00 Bohr magnetons per cell
SG = R-3m

(8)
KTl2Cd | GGA-PBEsol | relaxed

```
KTl2Cd
1.0
-3.712 0.218 -0.573
-0.557 -2.663 2.598
-0.578 5.996 6.023
Tl K Cd
2 1 1
Cartesian
-0.022 0.233 0.234 Tl
-2.285 0.341 2.583 Tl
-2.563 3.231 5.486 K
-0.264 2.744 2.756 Cd
```

Formation enthalpy at 0 K = -0.0179 eV/atom
M_tot = 0.00 Bohr magnetons per cell
SG = P4mm

(9)
Rb2NaBiF6 | GGA-PBEsol | relaxed

```
Rb2NaBiF6
1.0
-3.648 -3.471 -3.880
-4.788 -3.442 2.374
-6.015 1.735 -1.105
Na Bi Rb F
1 1 2 6
Cartesian
-7.226 -2.589 -1.305 Na
0.000 0.000 0.000 Bi
-10.839 -3.884 -1.958 Rb
-3.613 -1.295 -0.653 Rb
-5.436 -3.031 -2.593 F
-7.832 -4.753 -1.406 F
-9.016 -2.148 -0.017 F
-8.446 -2.162 -3.146 F
-6.006 -3.016 0.536 F
-6.620 -0.425 -1.205 F
```

Total DFT energy (no corrections) = -4.590 eV/atom
M_tot = 0.00 Bohr magnetons per cell
SG = Fm-3m

(10)
LaAgAs2 | GGA-PBEsol | relaxed

```
LaAgAs2
1.0
4.945 0.000 0.000
2.473 4.283 0.000
2.473 1.428 4.038
As Ag La
2 1 1
Cartesian
2.473 1.428 1.009 As
7.418 4.283 3.028 As
0.000 0.000 0.000 Ag
4.945 2.855 2.019 La
```

Formation enthalpy at 0 K = -0.4894 eV/atom
M_tot = 0.00 Bohr magnetons per cell
SG = Fm-3m

(11)
TcSbTeI2 | GGA-PBEsol | relaxed

```
TcSbTeI2
1.0
5.769 0.000 0.000
0.000 5.769 0.000
0.000 0.000 5.838
I Sb Te Tc
2 1 1 1
Cartesian
0.000 2.884 0.000 I
2.884 0.000 0.000 I
0.000 0.000 2.919 Sb
0.000 0.000 0.000 Te
2.884 2.884 2.919 Tc
```

Energy above the most stable polymorph in this dataset = 938 meV per atom
M_tot = 4.82 Bohr magnetons per cell
SG = P4/mmm

(12)
BaTlRu | GGA-PBEsol | relaxed

```
BaTlRu
1.0
-1.466 -1.419 -4.708
-1.558 -4.813 -0.860
-4.947 -0.961 -0.966
Ba Ru Tl
1 1 1
Cartesian
-1.993 -1.798 -1.634 Ba
0.000 0.000 0.000 Ru
-3.986 -3.597 -3.267 Tl
```

Formation enthalpy at 0 K = 1.3421 eV/atom
M_tot = 1.08 Bohr magnetons per cell
SG = F-43m

> Among the records above, which one has the highest M_tot?

TcSbTeI2

> M_tot of number 10 (LaAgAs2)?

0.00 Bohr magnetons per cell